Entry from Alexandria: crystalline K2ErTmO4 at its relaxed geometry (GGA-PBE).

Calculated values
Spin magnetization in Bohr magnetons per cell: 0.0
Uncorrected energy in eV per atom: -6.6922
Theoretical density in g cm⁻³: 6.23

Cell lengths 5.946, 3.433, 6.552 Å; angles 90.00, 107.60, 90.00 degrees
Space group P2/m (No. 10)
One atom of each set of equivalent atoms:
K (0.000, 0.000, 0.000)
K (0.500, 0.500, 0.000)
Er (0.000, 0.500, 0.500)
Tm (0.500, 0.000, 0.500)
O (0.229, 0.000, 0.684)
O (0.274, 0.500, 0.317)